[1]
Below is a relaxed structure of CaZn2W, with properties calculated at the PBE-GGA level.

a b c (Å): 4.5180 4.5180 9.6076
angles (deg): 76.40 76.40 90.00
Site moments in Bohr magnetons follow the coordinates.
Element x y z (fractional)
1 Zn 0.8750 0.9925 0.7500  -0.01
2 Zn 0.7425 0.1250 0.2500  -0.01
3 Zn 0.3750 0.2575 0.7500  -0.01
4 Zn 0.0075 0.6250 0.2500  -0.01
5 Ca 0.2500 0.7500 0.5000  0.01
6 Ca 0.5000 0.5000 0.0000  0.01
7 W 0.7500 0.2500 0.5000  0.37
8 W 0.0000 0.0000 0.0000  0.37

Summary:
Size of the total moment ... 0.44 μB per formula unit
Crystal system ... tetragonal
E above lowest polymorph ... 634 meV/atom
ρ ... 6370 kg/m3
Formation enthalpy at 0 K ... 3.6 eV per formula unit



[2]
Below is a relaxed structure of VCd2Au, with properties calculated at the PBE-GGA level.

a b c (Å): 4.7351 4.7351 4.7351
angles (deg): 60.00 60.00 60.00
Site moments in Bohr magnetons follow the coordinates.
Element x y z (fractional)
1 Cd 0.2500 0.2500 0.2500  0.00
2 Cd 0.7500 0.7500 0.7500  0.00
3 Au 0.5000 0.5000 0.5000  -0.03
4 V 0.0000 0.0000 0.0000  2.52

Summary:
Size of the total moment ... 2.83 μB per formula unit
Crystal system ... cubic
E above lowest polymorph ... 0 meV/atom
ρ ... 10456 kg/m3
Formation enthalpy at 0 K ... 0.7 eV per formula unit



[3]
Below is a relaxed structure of MnNiH3, with properties calculated at the PBE-GGA level.

a b c (Å): 5.7515 6.0502 4.4862
angles (deg): 90.00 90.00 123.62
Site moments in Bohr magnetons follow the coordinates.
Element x y z (fractional)
1 H 0.0834 0.1997 0.3438  -0.02
2 H 0.0975 0.6580 0.1254  -0.02
3 H 0.4166 0.8003 0.8438  -0.02
4 H 0.7279 0.0898 0.5065  -0.03
5 H 0.9025 0.3420 0.8746  -0.02
6 H 0.2721 0.9102 0.4935  -0.03
7 H 0.2279 0.0898 0.9935  -0.03
8 H 0.5975 0.6580 0.3746  -0.02
9 H 0.7721 0.9102 0.0065  -0.03
10 H 0.4025 0.3420 0.6254  -0.02
11 H 0.5834 0.1997 0.1562  -0.02
12 H 0.9166 0.8003 0.6562  -0.02
13 Mn 0.4600 0.8390 0.2449  2.90
14 Mn 0.5400 0.1610 0.7551  2.90
15 Mn 0.0400 0.1610 0.7449  2.90
16 Mn 0.9600 0.8390 0.2551  2.90
17 Ni 0.9142 0.3512 0.2585  0.11
18 Ni 0.4142 0.3512 0.2415  0.11
19 Ni 0.5858 0.6488 0.7585  0.11
20 Ni 0.0858 0.6488 0.7415  0.11

Summary:
Size of the total moment ... 2.98 μB per formula unit
Crystal system ... monoclinic
ρ ... 5961 kg/m3
Final energy ... -4.952 eV/atom



[4]
Below is a relaxed structure of Al4Ni3Os, with properties calculated at the PBE-GGA level.

a b c (Å): 2.9900 2.9900 11.2791
angles (deg): 90.00 90.00 90.00
Element x y z (fractional)
1 Al 0.0000 0.0000 0.8700
2 Al 0.0000 0.0000 0.3780
3 Al 0.0000 0.0000 0.6220
4 Al 0.0000 0.0000 0.1300
5 Ni 0.5000 0.5000 0.5000
6 Ni 0.5000 0.5000 0.7417
7 Ni 0.5000 0.5000 0.2583
8 Os 0.5000 0.5000 0.0000

Summary:
Size of the total moment ... 0.00 μB per formula unit
Crystal system ... tetragonal
ρ ... 7809 kg/m3
Formation enthalpy at 0 K ... -4.7 eV per formula unit



[5]
Below is a relaxed structure of AlSi2Te, with properties calculated at the PBE-GGA level.

a b c (Å): 6.4935 6.4935 6.4935
angles (deg): 147.41 146.31 47.58
Element x y z (fractional)
1 Si 0.9200 0.9200 0.0000
2 Si 0.7824 0.2824 0.5000
3 Al 0.2404 0.7405 0.5000
4 Te 0.5571 0.5571 0.0000

Summary:
Size of the total moment ... 0.00 μB per formula unit
Crystal system ... orthorhombic
E above lowest polymorph ... 164 meV/atom
Uncorrected formation energy ... 298 meV per atom
ρ ... 4295 kg/m3



[6]
Below is a relaxed structure of Na2ZnPO4, with properties calculated at the PBE-GGA level.

a b c (Å): 5.6947 5.6947 5.6947
angles (deg): 77.22 127.63 127.63
Element x y z (fractional)
1 O 0.9827 0.5729 0.2089
2 O 0.6360 0.4098 0.4271
3 O 0.3640 0.7911 0.7738
4 O 0.0173 0.2262 0.5902
5 P 0.0000 0.5000 0.5000
6 Na 0.0000 0.0000 0.0000
7 Na 0.5000 0.7500 0.2500
8 Zn 0.5000 0.2500 0.7500

Summary:
Size of the total moment ... 0.00 μB per formula unit
Crystal system ... tetragonal
Uncorrected formation energy ... -1769 meV per atom
ρ ... 3049 kg/m3



[7]
Below is a relaxed structure of FeAs2Os, with properties calculated at the PBE-GGA level.

a b c (Å): 4.0799 3.0344 5.0412
angles (deg): 91.90 90.00 90.00
Site moments in Bohr magnetons follow the coordinates.
Element x y z (fractional)
1 As 0.0000 0.9082 0.0189  0.01
2 As 0.0000 0.5918 0.4811  0.01
3 Os 0.5000 0.7500 0.7500  0.22
4 Fe 0.5000 0.2500 0.2500  2.54

Summary:
Size of the total moment ... 2.78 μB per formula unit
Crystal system ... monoclinic
E above lowest polymorph ... 405 meV/atom
ρ ... 10540 kg/m3
Formation enthalpy at 0 K ... 2.1 eV per formula unit



[8]
Below is a relaxed structure of Cr2FeRe, with properties calculated at the PBE-GGA level.

a b c (Å): 4.4935 4.4935 4.4935
angles (deg): 131.74 131.74 70.65
Site moments in Bohr magnetons follow the coordinates.
Element x y z (fractional)
1 Cr 0.0000 0.0000 0.0000  0.12
2 Cr 0.2500 0.7500 0.5000  -0.30
3 Fe 0.5000 0.5000 0.0000  1.18
4 Re 0.7500 0.2500 0.5000  -0.05

Summary:
Size of the total moment ... 0.94 μB per formula unit
Crystal system ... tetragonal
E above lowest polymorph ... 94 meV/atom
ρ ... 11610 kg/m3
Formation enthalpy at 0 K ... 0.7 eV per formula unit



Question: The lowest ρ belongs to which entry?
Answer: Na2ZnPO4